Entry 1:
Computed, not measured: crystalline AcNd5In4 at its relaxed geometry at the PBE level of DFT.

Values from the calculation:
* calculated total energy: -4.2744 eV per atom
* spin magnetization: 0.00 μB per cell
* space-group type: P4/mmm (123)
* calculated formation energy: -37.1 kJ per mole of atoms
* theoretical density: 7.5 g/cm³
* density of states at the Fermi level: 7.13 states/eV per cell

a = 3.691 Å, b = 3.691 Å, c = 22.746 Å
α = 90.00°, β = 90.00°, γ = 90.00°
Fractional positions:
1 Ac 0.000 0.000 0.000
2 Nd 0.500 0.500 0.123
3 Nd 0.500 0.500 0.311
4 Nd 0.500 0.500 0.500
5 Nd 0.500 0.500 0.689
6 Nd 0.500 0.500 0.877
7 In 0.000 0.000 0.215
8 In 0.000 0.000 0.405
9 In 0.000 0.000 0.595
10 In 0.000 0.000 0.785


Entry 2:
Computed, not measured: crystalline Dy2VFe at its relaxed geometry at the PBE level of DFT.

Values from the calculation:
* calculated total energy: -5.9332 eV per atom
* spin magnetization: 3.47 μB per cell
* space-group type: R-3m (166)
* calculated formation energy: 73.6 kJ per mole of atoms
* theoretical density: 8.1 g/cm³
* density of states at the Fermi level: 5.19 states/eV per cell

a = 3.248 Å, b = 3.248 Å, c = 9.895 Å
α = 80.55°, β = 80.55°, γ = 60.00°
Each line ends with the local moment (μB).
Fractional positions:
1 V 0.000 0.000 0.000  2.24
2 Fe 0.500 0.500 0.500  1.33
3 Dy 0.099 0.099 0.704  -0.21
4 Dy 0.901 0.901 0.296  -0.21


Entry 3:
Computed, not measured: crystalline Pr7Nd4In at its relaxed geometry at the PBE level of DFT.

Values from the calculation:
* calculated total energy: -4.4649 eV per atom
* spin magnetization: 0.00 μB per cell
* space-group type: C2/m (12)
* calculated formation energy: 13.6 kJ per mole of atoms
* theoretical density: 6.3 g/cm³
* density of states at the Fermi level: 18.25 states/eV per cell

a = 6.103 Å, b = 6.907 Å, c = 12.014 Å
α = 82.00°, β = 75.28°, γ = 63.79°
Fractional positions:
1 Pr 0.799 0.484 0.919
2 Pr 0.201 0.516 0.081
3 Pr 0.096 0.081 0.726
4 Pr 0.904 0.919 0.274
5 Pr 0.367 0.784 0.481
6 Pr 0.500 0.000 0.000
7 Pr 0.633 0.216 0.519
8 Nd 0.637 0.499 0.228
9 Nd 0.363 0.501 0.772
10 Nd 0.841 0.686 0.632
11 Nd 0.159 0.314 0.368
12 In 0.000 0.000 0.000